## Ni3Se (GGA-PBE)

Data for crystalline Ni3Se at its relaxed geometry.

Formation energy from raw total energies: 0.1334 eV/atom
Calculated density: 8.40 g cm⁻³

Cell and atoms, written as extended XYZ:
```
4
Lattice="2.867 0.000 0.000 0.000 3.763 0.000 -1.236 0.000 4.672" Properties=species:S:1:pos:R:3 pbc="T T T"
Ni 0.000 0.000 0.000
Ni 0.152 1.882 3.471
Ni 1.479 1.882 1.200
Se -0.618 0.000 2.336
```

---

## Ni3Se (GGA-PBE)

Data for crystalline Ni3Se at its relaxed geometry.

Formation energy from raw total energies: 0.0764 eV/atom
Calculated density: 8.72 g cm⁻³

Cell and atoms, written as extended XYZ:
```
8
Lattice="-1.811 1.811 7.408 1.811 -1.811 7.408 1.811 1.811 -7.408" Properties=species:S:1:pos:R:3 pbc="T T T"
Ni 1.811 0.000 0.000
Ni 0.000 0.000 1.737
Ni 1.811 0.000 3.704
Ni 0.000 1.811 0.000
Ni 0.000 1.811 3.704
Ni 0.000 0.000 13.078
Se 0.000 0.000 5.400
Se 0.000 0.000 9.415
```

---

## Ni3Se (GGA-PBE)

Data for crystalline Ni3Se at its relaxed geometry.

Formation energy from raw total energies: 0.0123 eV/atom
Calculated density: 8.58 g cm⁻³

Cell and atoms, written as extended XYZ:
```
8
Lattice="3.515 -3.935 0.000 3.515 3.935 0.000 0.000 0.000 3.570" Properties=species:S:1:pos:R:3 pbc="T T T"
Ni 3.515 3.059 2.678
Ni 1.836 0.926 2.678
Ni 1.836 -0.926 0.893
Ni 5.194 0.926 2.678
Ni 5.194 -0.926 0.893
Ni 3.515 -3.059 0.893
Se 3.515 1.421 0.893
Se 3.515 -1.421 2.678
```

---

## Ni3Se (GGA-PBE)

Data for crystalline Ni3Se at its relaxed geometry.

Formation energy from raw total energies: 0.0887 eV/atom
Calculated density: 8.65 g cm⁻³

Cell and atoms, written as extended XYZ:
```
4
Lattice="-1.615 3.913 1.938 1.615 -3.913 1.938 1.615 3.913 -1.938" Properties=species:S:1:pos:R:3 pbc="T T T"
Ni 0.000 0.000 0.000
Ni 1.615 2.141 -0.024
Ni 0.000 1.772 1.914
Se 0.000 3.913 0.067
```